1.
DFT (PBE) results for Ba2LiPdPb6 after structural relaxation.

The structure in CIF format:
```
data_Ba2LiPdPb6
_cell_length_a 7.696
_cell_length_b 7.696
_cell_length_c 7.608
_cell_angle_alpha 119.58
_cell_angle_beta 119.58
_cell_angle_gamma 89.93
_space_group_name_H-M_alt 'P 1'
_space_group_IT_number 1
loop_
_space_group_symop_operation_xyz
'x,y,z'
loop_
_atom_site_label
_atom_site_type_symbol
_atom_site_fract_x
_atom_site_fract_y
_atom_site_fract_z
Ba1 Ba 0.250 0.750 0.000
Ba2 Ba 0.750 0.250 0.000
Li1 Li 0.000 0.000 0.500
Pd1 Pd 0.500 0.500 0.500
Pb1 Pb 0.247 0.247 0.997
Pb2 Pb 0.248 0.752 0.500
Pb3 Pb 0.250 0.250 0.503
Pb4 Pb 0.750 0.750 0.497
Pb5 Pb 0.752 0.248 0.500
Pb6 Pb 0.753 0.753 0.003
```



2.
DFT (PBE) results for BaLi4PdPb2 after structural relaxation.

The structure in CIF format:
```
data_BaLi4PdPb2
_cell_length_a 10.162
_cell_length_b 10.162
_cell_length_c 10.162
_cell_angle_alpha 26.70
_cell_angle_beta 26.70
_cell_angle_gamma 26.70
_space_group_name_H-M_alt 'P 1'
_space_group_IT_number 1
loop_
_space_group_symop_operation_xyz
'x,y,z'
loop_
_atom_site_label
_atom_site_type_symbol
_atom_site_fract_x
_atom_site_fract_y
_atom_site_fract_z
Ba1 Ba 0.000 0.000 0.000
Li1 Li 0.139 0.139 0.139
Li2 Li 0.416 0.416 0.416
Li3 Li 0.584 0.584 0.584
Li4 Li 0.861 0.861 0.861
Pd1 Pd 0.500 0.500 0.500
Pb1 Pb 0.235 0.235 0.235
Pb2 Pb 0.765 0.765 0.765
```



no.,energy of formation (eV/atom)
1,-0.28
2,-0.31